This record from OQMD via LeMat-Bulk describes crystalline YPdPt2 at its relaxed geometry. The functional is PBE.

Cell lengths 6.6197, 6.6197, 6.6197 Å; angles 90.00, 90.00, 90.00 degrees
With the nearest neighbours (Å) after each atom.
Space group F-43m (No. 216)
One atom of each set of equivalent atoms:
Y1 0.0000 0.0000 0.0000 x4  4 Pd 2.87, 4 Pt 2.87
Pd1 0.2500 0.2500 0.2500 x4  4 Pt 2.87, 4 Y 2.87
Pt1 0.0000 0.0000 0.5000 x4  4 Pd 2.87, 4 Pt 2.87
Pt2 0.2500 0.2500 0.7500 x4  4 Pt 2.87, 4 Y 2.87

## Properties
ΔH_f (0 K) = -0.72 eV per atom



This record from OQMD via LeMat-Bulk describes crystalline ZnCoHgAs at its relaxed geometry. The functional is PBE.

Cell lengths 6.4321, 6.4321, 6.4321 Å; angles 90.00, 90.00, 90.00 degrees
With the nearest neighbours (Å) after each atom.
Space group F-43m (No. 216)
One atom of each set of equivalent atoms:
Zn1 0.0000 0.0000 0.0000 x4  4 As 2.79, 4 Hg 2.79
Co1 0.0000 0.0000 0.5000 x4  4 Hg 2.79, 4 As 2.79
Hg1 0.2500 0.2500 0.7500 x4  4 Co 2.79, 4 Zn 2.79
As1 0.2500 0.2500 0.2500 x4  4 Co 2.79, 4 Zn 2.79

## Properties
DFT total energy = -46.83 eV/cell



This record from OQMD via LeMat-Bulk describes crystalline BaHoPt at its relaxed geometry. The functional is PBE.

Cell lengths 7.2648, 7.2648, 7.2648 Å; angles 90.00, 90.00, 90.00 degrees
With the nearest neighbours (Å) after each atom.
Space group F-43m (No. 216)
One atom of each set of equivalent atoms:
Ba1 0.0000 0.0000 0.0000 x4  4 Pt 3.15
Ho1 0.0000 0.0000 0.5000 x4  4 Pt 3.15
Pt1 0.2500 0.2500 0.2500 x4  4 Ba 3.15, 4 Ho 3.15

## Properties
DFT total energy = -55.72 eV/cell



This record from OQMD via LeMat-Bulk describes crystalline Tb3ReB7 at its relaxed geometry. The functional is PBE.

Cell lengths 3.5493, 15.8606, 9.3708 Å; angles 90.00, 90.00, 90.00 degrees
With the nearest neighbours (Å) after each atom.
Space group Cmcm (No. 63)
One atom of each set of equivalent atoms:
Tb1 0.0000 0.1051 0.0602 x8  11 B 2.66-2.76
Tb2 0.0000 0.2421 0.7500 x4  10 B 2.66-2.71
Re1 0.0000 0.0534 0.7500 x4  10 B 2.33-2.36
B1 0.0000 0.2732 0.0332 x8  3 B 1.86-2.02
B2 0.0000 0.3681 0.1507 x8  3 B 1.83-1.86
B3 0.0000 0.4583 0.7500 x4  2 B 1.75
B4 0.0000 0.4791 0.0957 x8  3 B 1.75-1.91

## Properties
DFT total energy = -318.10 eV/cell



This record from OQMD via LeMat-Bulk describes crystalline TbFe2Mo2 at its relaxed geometry. The functional is PBE.

Cell lengths 4.1851, 4.1851, 9.8116 Å; angles 90.00, 90.00, 90.00 degrees
With the nearest neighbours (Å) after each atom.
Space group I4/mmm (No. 139)
One atom of each set of equivalent atoms:
Tb1 0.0000 0.0000 0.0000 x2  8 Fe 3.22, 10 Mo 3.24-3.59
Fe1 0.0000 0.5000 0.2500 x4  4 Mo 2.38
Mo1 0.0000 0.0000 0.3659 x4  4 Fe 2.38, 1 Mo 2.63

## Properties
ΔH_f (0 K) = 0.28 eV per atom



This record from OQMD via LeMat-Bulk describes crystalline Hf2ZnGaNi4 at its relaxed geometry. The functional is PBE.

Cell lengths 4.0866, 4.0866, 7.9853 Å; angles 90.00, 90.00, 120.00 degrees
With the nearest neighbours (Å) after each atom.
Space group P-3m1 (No. 164)
One atom of each set of equivalent atoms:
Hf1 0.3333 0.6667 0.2513 x2  8 Ni 2.68-2.70
Zn1 0.0000 0.0000 0.5000 x1  6 Ni 2.46
Ga1 0.0000 0.0000 0.0000 x1  6 Ni 2.46
Ni1 0.3333 0.6667 0.5872 x2  3 Zn 2.46, 4 Ni 2.61-2.74, 4 Hf 2.68-2.69
Ni2 0.3333 0.6667 0.9142 x2  3 Ga 2.46, 4 Ni 2.61-2.73, 4 Hf 2.69-2.70

## Properties
DFT total energy = -50.64 eV/cell